(1)
Density functional theory data (PBE) for Nd5Sm2Th4 after structural relaxation. Values from VASP.

## Properties
- Energy of formation: 2.6 kcal/mol of atoms
- Calculated volume: 34.4 A^3/atom
- Total magnetization: 0.000 μB per atom
- Uncorrected energy: -61.72 eV/cell
- Mass density: 8.559 Mg/m³

```
&SYSTEM
  ibrav = 0, nat = 11, ntyp = 3
/
ATOMIC_SPECIES
Nd 144.24 Nd.upf
Sm 150.36 Sm.upf
Th 232.04 Th.upf
ATOMIC_POSITIONS crystal
Nd 0.000 0.000 0.000
Nd 0.317 0.317 0.527
Nd 0.370 0.370 0.958
Nd 0.630 0.630 0.042
Nd 0.683 0.683 0.473
Sm 0.226 0.226 0.826
Sm 0.774 0.774 0.174
Th 0.084 0.084 0.685
Th 0.456 0.456 0.645
Th 0.544 0.544 0.355
Th 0.916 0.916 0.315
CELL_PARAMETERS angstrom
12.318 -1.766 0.000
12.318 1.766 0.000
-0.784 0.000 8.696
```


(2)
Density functional theory data (PBE) for FeTc2MoN after structural relaxation. Values from VASP.

## Properties
- Calculated volume: 12.4 A^3/atom
- Total magnetization: 0.063 μB per atom
- Uncorrected energy: -48.15 eV/cell
- Uncorrected formation energy: 41 meV per atom
- Mass density: 9.679 Mg/m³

```
&SYSTEM
  ibrav = 0, nat = 5, ntyp = 4
/
ATOMIC_SPECIES
Fe 55.84 Fe.upf
Tc 98.00 Tc.upf
Mo 95.94 Mo.upf
N 14.01 N.upf
ATOMIC_POSITIONS crystal
Fe 0.000 0.000 0.000
Tc 0.000 0.500 0.500
Tc 0.500 0.000 0.500
Mo 0.500 0.500 0.000
N 0.000 0.000 0.500
CELL_PARAMETERS angstrom
4.045 0.000 0.000
0.000 4.045 0.000
0.000 0.000 3.793
```


(3)
Density functional theory data (PBE) for PaMn2GeC after structural relaxation. Values from VASP.

## Properties
- Energy of formation: -8.1 kcal/mol of atoms
- Calculated volume: 14.4 A^3/atom
- Total magnetization: 0.461 μB per atom
- Uncorrected energy: -86.87 eV/cell
- Mass density: 9.840 Mg/m³

```
&SYSTEM
  ibrav = 0, nat = 10, ntyp = 4
/
ATOMIC_SPECIES
Pa 231.04 Pa.upf
Mn 54.94 Mn.upf
Ge 72.64 Ge.upf
C 12.01 C.upf
ATOMIC_POSITIONS crystal
Pa 0.045 0.955 0.750
Pa 0.955 0.045 0.250
Mn 0.335 0.665 0.556
Mn 0.335 0.665 0.944
Mn 0.665 0.335 0.056
Mn 0.665 0.335 0.444
Ge 0.234 0.766 0.250
Ge 0.766 0.234 0.750
C 0.500 0.500 0.000
C 0.500 0.500 0.500
CELL_PARAMETERS angstrom
1.836 -5.473 0.000
1.836 5.473 0.000
0.000 0.000 7.148
```


(4)
Density functional theory data (PBE) for Pm6Si2Te3S after structural relaxation. Values from VASP.

## Properties
- Calculated volume: 28.8 A^3/atom
- Total magnetization: 0.000 μB per atom
- Uncorrected energy: -69.11 eV/cell
- Uncorrected formation energy: -1351 meV per atom
- Mass density: 6.446 Mg/m³

```
&SYSTEM
  ibrav = 0, nat = 12, ntyp = 4
/
ATOMIC_SPECIES
Pm 145.00 Pm.upf
Si 28.09 Si.upf
Te 127.60 Te.upf
S 32.06 S.upf
ATOMIC_POSITIONS crystal
Pm 0.009 0.009 0.234
Pm 0.327 0.327 0.433
Pm 0.339 0.339 0.899
Pm 0.661 0.661 0.101
Pm 0.673 0.673 0.567
Pm 0.991 0.991 0.766
Si 0.166 0.166 0.330
Si 0.834 0.834 0.670
Te 0.165 0.165 0.834
Te 0.500 0.500 0.500
Te 0.835 0.835 0.166
S 0.500 0.500 0.000
CELL_PARAMETERS angstrom
9.536 -2.142 0.000
9.536 2.142 0.000
-2.338 0.000 8.458
```


(5)
Density functional theory data (PBE) for LaPt3S after structural relaxation. Values from VASP.

## Properties
- Calculated volume: 28.1 A^3/atom
- Total magnetization: 0.000 μB per atom
- Uncorrected energy: -20.91 eV/cell
- Uncorrected formation energy: 1253 meV per atom
- Mass density: 8.941 Mg/m³
- Polymorph energy (0 for the lowest one): 1.773 eV/atom

```
&SYSTEM
  ibrav = 0, nat = 5, ntyp = 3
/
ATOMIC_SPECIES
La 138.91 La.upf
Pt 195.08 Pt.upf
S 32.06 S.upf
ATOMIC_POSITIONS crystal
La 0.000 0.000 0.000
Pt 0.000 0.000 0.500
Pt 0.000 0.500 0.000
Pt 0.500 0.000 0.000
S 0.500 0.500 0.500
CELL_PARAMETERS angstrom
5.198 0.000 0.000
0.000 5.198 0.000
0.000 0.000 5.198
```


(6)
Density functional theory data (PBE) for MgGa2Tc after structural relaxation. Values from VASP.

## Properties
- Energy of formation: -3.8 kcal/mol of atoms
- Calculated volume: 15.8 A^3/atom
- Total magnetization: 0.000 μB per atom
- Uncorrected energy: -18.67 eV/cell
- Mass density: 6.859 Mg/m³

```
&SYSTEM
  ibrav = 0, nat = 4, ntyp = 3
/
ATOMIC_SPECIES
Mg 24.30 Mg.upf
Ga 69.72 Ga.upf
Tc 98.00 Tc.upf
ATOMIC_POSITIONS crystal
Mg 0.000 0.000 0.000
Ga 0.500 0.500 0.273
Ga 0.500 0.500 0.727
Tc 0.000 0.000 0.500
CELL_PARAMETERS angstrom
3.337 0.000 0.000
0.000 3.337 0.000
0.000 0.000 5.692
```


(7)
Density functional theory data (PBE) for BaAl2Au after structural relaxation. Values from VASP.

## Properties
- Energy of formation: 2.7 kcal/mol of atoms
- Calculated volume: 28.7 A^3/atom
- Total magnetization: 0.000 μB per atom
- Uncorrected energy: -12.22 eV/cell
- Mass density: 5.617 Mg/m³

```
&SYSTEM
  ibrav = 0, nat = 4, ntyp = 3
/
ATOMIC_SPECIES
Ba 137.33 Ba.upf
Al 26.98 Al.upf
Au 196.97 Au.upf
ATOMIC_POSITIONS crystal
Ba 0.000 0.000 0.000
Al 0.000 0.500 0.500
Al 0.500 0.000 0.500
Au 0.500 0.500 0.000
CELL_PARAMETERS angstrom
3.057 -6.030 0.000
3.057 6.030 0.000
-2.712 0.000 3.113
```


(8)
Density functional theory data (PBE) for Ca2ScI6 after structural relaxation. Values from VASP.

## Properties
- Calculated volume: 43.5 A^3/atom
- Total magnetization: 0.113 μB per atom
- Uncorrected energy: -32.43 eV/cell
- Uncorrected formation energy: -1422 meV per atom
- Mass density: 3.758 Mg/m³

```
&SYSTEM
  ibrav = 0, nat = 9, ntyp = 3
/
ATOMIC_SPECIES
Ca 40.08 Ca.upf
Sc 44.96 Sc.upf
I 126.90 I.upf
ATOMIC_POSITIONS crystal
Ca 0.165 0.165 0.328
Ca 0.835 0.835 0.672
Sc 0.500 0.500 0.000
I 0.131 0.131 0.040
I 0.192 0.192 0.617
I 0.478 0.478 0.728
I 0.522 0.522 0.272
I 0.808 0.808 0.383
I 0.869 0.869 0.960
CELL_PARAMETERS angstrom
8.402 -2.183 0.000
8.402 2.183 0.000
-4.090 0.000 10.678
```